{"formula": "Co2SnO4", "functional": "GGA+U", "state": "relaxed", "space_group": "P1, No. 1", "final_energy_ev_per_atom": -5.996, "de_polymorph_ev_per_atom": 0.1806, "lattice_angstrom": [[6.164, 0.000, 0.000], [-3.027, 5.414, 0.000], [-0.899, -3.079, 24.621]], "species": ["Co", "Co", "Co", "Co", "Co", "Co", "Co", "Co", "Co", "Co", "Co", "Co", "Co", "Co", "Co", "Co", "Co", "Co", "Co", "Co", "Sn", "Sn", "Sn", "Sn", "Sn", "Sn", "Sn", "Sn", "Sn", "Sn", "O", "O", "O", "O", "O", "O", "O", "O", "O", "O", "O", "O", "O", "O", "O", "O", "O", "O", "O", "O", "O", "O", "O", "O", "O", "O", "O", "O", "O", "O", "O", "O", "O", "O", "O", "O", "O", "O", "O", "O"], "fractional_positions": [[0.000, 0.000, 0.000], [0.043, 0.710, 0.729], [0.082, 0.213, 0.800], [0.179, 0.411, 0.601], [0.197, 0.903, 0.100], [0.253, 0.076, 0.330], [0.322, 0.145, 0.472], [0.373, 0.308, 0.701], [0.393, 0.805, 0.200], [0.463, 0.464, 0.926], [0.534, 0.534, 0.070], [0.578, 0.211, 0.799], [0.590, 0.708, 0.300], [0.646, 0.879, 0.531], [0.717, 0.948, 0.675], [0.787, 0.611, 0.401], [0.806, 0.100, 0.902], [0.859, 0.271, 0.129], [0.928, 0.340, 0.271], [0.983, 0.512, 0.501], [0.127, 0.710, 0.859], [0.180, 0.912, 0.601], [0.288, 0.611, 0.401], [0.393, 0.306, 0.200], [0.500, 0.000, 0.999], [0.584, 0.712, 0.799], [0.680, 0.412, 0.602], [0.788, 0.110, 0.401], [0.893, 0.805, 0.200], [0.999, 0.498, 0.000], [0.023, 0.620, 0.649], [0.047, 0.104, 0.153], [0.064, 0.646, 0.153], [0.065, 0.127, 0.649], [0.116, 0.281, 0.954], [0.117, 0.772, 0.448], [0.135, 0.311, 0.448], [0.160, 0.781, 0.947], [0.205, 0.585, 0.776], [0.235, 0.014, 0.248], [0.249, 0.076, 0.754], [0.279, 0.522, 0.247], [0.293, 0.694, 0.554], [0.327, 0.156, 0.046], [0.339, 0.204, 0.553], [0.345, 0.702, 0.046], [0.418, 0.420, 0.847], [0.441, 0.909, 0.354], [0.458, 0.451, 0.353], [0.496, 0.945, 0.854], [0.505, 0.569, 0.649], [0.507, 0.088, 0.153], [0.528, 0.109, 0.648], [0.552, 0.596, 0.151], [0.629, 0.818, 0.449], [0.651, 0.304, 0.955], [0.674, 0.328, 0.448], [0.674, 0.839, 0.953], [0.684, 0.495, 0.751], [0.723, 0.965, 0.247], [0.740, 0.506, 0.246], [0.741, 0.011, 0.755], [0.833, 0.711, 0.555], [0.840, 0.208, 0.048], [0.851, 0.253, 0.554], [0.888, 0.718, 0.046], [0.902, 0.894, 0.354], [0.904, 0.338, 0.849], [0.933, 0.884, 0.846], [0.947, 0.401, 0.352]]}